1.
Entry from Alexandria: crystalline CaH2O2 at its relaxed geometry (PBEsol).

Results
- ΔE to the lowest computed polymorph: 12 meV/atom

Cell and atoms, written as POSCAR:
```
CaH2O2
1.0
-0.216 -3.143 4.370
5.615 -0.287 -1.892
1.406 4.710 3.458
H O Ca
8 8 4
direct
0.871 0.801 0.494
0.129 0.199 0.506
0.214 0.915 0.716
0.129 0.699 0.994
0.871 0.301 0.006
0.786 0.585 0.216
0.786 0.085 0.284
0.214 0.415 0.784
0.402 0.992 0.739
0.402 0.492 0.761
0.598 0.008 0.261
0.930 0.728 0.623
0.930 0.228 0.877
0.070 0.272 0.377
0.070 0.772 0.123
0.598 0.508 0.239
0.316 0.686 0.429
0.316 0.186 0.071
0.684 0.814 0.929
0.684 0.314 0.571
```



2.
Entry from Alexandria: crystalline NiPt2Rh at its relaxed geometry (PBEsol).

Results
- DFT formation energy: -0.05 eV per formula unit

Cell and atoms, written as POSCAR:
```
NiPt2Rh
1.0
-1.818 0.166 1.997
1.977 -0.288 1.824
0.885 7.326 0.196
Rh Pt Ni
1 2 1
direct
0.000 0.000 0.519
0.000 0.000 0.980
0.500 0.500 0.257
0.500 0.500 0.743
```



3.
Entry from Alexandria: crystalline BeNbTc2Ni at its relaxed geometry (PBEsol).

Results
- DFT formation energy: 9.99 eV per formula unit

Cell and atoms, written as POSCAR:
```
BeNbTc2Ni
1.0
4.452 0.000 0.000
0.000 4.628 0.000
0.000 0.000 4.628
Nb Tc Be Ni
1 2 1 1
direct
0.000 0.000 0.000
0.000 0.000 0.500
0.000 0.500 0.000
0.500 0.500 0.500
0.500 0.000 0.000
```



4.
Entry from Alexandria: crystalline GeBiN2 at its relaxed geometry (PBEsol).

Results
- Uncorrected formation energy: 1.209 eV/atom

Cell and atoms, written as POSCAR:
```
GeBiN2
1.0
4.209 0.000 0.000
2.105 3.645 0.000
2.105 1.215 3.437
N Ge Bi
2 1 1
direct
0.250 0.250 0.250
0.750 0.750 0.750
0.000 0.000 0.000
0.500 0.500 0.500
```



5.
Entry from Alexandria: crystalline BeCr2Fe at its relaxed geometry (PBEsol).

Results
- DFT formation energy: -0.12 eV per formula unit

Cell and atoms, written as POSCAR:
```
BeCr2Fe
1.0
2.760 0.000 0.000
0.000 3.694 0.000
-1.380 -1.847 3.898
Fe Cr Be
1 2 1
direct
0.500 0.000 0.000
0.755 0.755 0.510
0.245 0.245 0.490
0.000 0.500 0.000
```



6.
Entry from Alexandria: crystalline Sr2LiCd2 at its relaxed geometry (PBEsol).

Results
- DFT formation energy: -1.00 eV per formula unit

Cell and atoms, written as POSCAR:
```
Sr2LiCd2
1.0
4.718 0.000 0.000
0.000 8.274 0.000
0.000 0.000 8.274
Cd Sr Li
4 4 2
direct
0.000 0.127 0.373
0.000 0.627 0.127
0.000 0.373 0.873
0.000 0.873 0.627
0.500 0.828 0.328
0.500 0.328 0.172
0.500 0.672 0.828
0.500 0.172 0.672
0.000 0.500 0.500
0.000 0.000 0.000
```



7.
Entry from Alexandria: crystalline NiRuPt2 at its relaxed geometry (PBEsol).

Results
- ΔE to the lowest computed polymorph: 10 meV/atom
- DFT formation energy: -0.05 eV per formula unit

Cell and atoms, written as POSCAR:
```
NiRuPt2
1.0
-2.890 2.294 -0.757
-1.357 -0.565 3.468
4.135 2.089 -0.087
Ru Ni Pt
1 1 2
direct
0.000 0.000 0.000
0.500 0.500 0.000
0.750 0.250 0.500
0.250 0.750 0.500
```



8.
Entry from Alexandria: crystalline Sb2TePdO at its relaxed geometry (PBEsol).

Results
- Uncorrected formation energy: 0.788 eV/atom

Cell and atoms, written as POSCAR:
```
Sb2TePdO
1.0
5.078 0.000 0.000
0.000 5.078 0.000
0.000 0.000 5.260
Te Sb Pd O
1 2 1 1
direct
0.000 0.000 0.500
0.500 0.000 0.000
0.000 0.500 0.000
0.000 0.000 0.000
0.500 0.500 0.500
```



9.
Entry from Alexandria: crystalline LuFeO3 at its relaxed geometry (PBEsol).

Results
- Uncorrected formation energy: -2.506 eV/atom

Cell and atoms, written as POSCAR:
```
LuFeO3
1.0
-0.644 -4.251 -2.451
-1.741 -2.378 4.581
-6.738 1.922 -1.563
O Lu Fe
12 4 4
direct
0.683 0.306 0.055
0.183 0.194 0.945
0.183 0.194 0.555
0.386 0.963 0.250
0.317 0.694 0.945
0.317 0.694 0.555
0.817 0.806 0.055
0.886 0.537 0.750
0.114 0.463 0.250
0.614 0.037 0.750
0.817 0.806 0.445
0.683 0.306 0.445
0.528 0.583 0.250
0.028 0.917 0.750
0.972 0.083 0.250
0.472 0.417 0.750
0.000 0.500 0.500
0.500 0.000 0.500
0.500 0.000 0.000
0.000 0.500 0.000
```



10.
Entry from Alexandria: crystalline NiTePt3 at its relaxed geometry (PBEsol).

Results
- Uncorrected formation energy: 0.874 eV/atom

Cell and atoms, written as POSCAR:
```
NiTePt3
1.0
4.533 0.000 0.000
0.000 4.533 0.000
0.000 0.000 4.533
Pt Te Ni
3 1 1
direct
0.000 0.500 0.000
0.500 0.000 0.000
0.000 0.000 0.500
0.500 0.500 0.500
0.000 0.000 0.000
```



11.
Entry from Alexandria: crystalline CoMo2 at its relaxed geometry (PBEsol).

Results
- DFT formation energy: 1.29 eV per formula unit

Cell and atoms, written as POSCAR:
```
CoMo2
1.0
2.577 0.000 0.000
0.000 4.314 0.000
0.000 -2.157 3.736
Co Mo
1 2
direct
0.000 0.000 0.000
0.500 0.333 0.667
0.500 0.667 0.333
```



12.
Entry from Alexandria: crystalline SrCr4Sb at its relaxed geometry (PBEsol).

Results
- Uncorrected formation energy: 0.709 eV/atom

Cell and atoms, written as POSCAR:
```
SrCr4Sb
1.0
-2.642 4.278 0.812
-4.096 -0.072 3.026
0.161 2.267 4.558
Cr Sb Sr
4 1 1
direct
0.378 0.866 0.378
0.378 0.378 0.378
0.378 0.378 0.866
0.866 0.378 0.378
0.750 0.750 0.750
0.000 0.000 0.000
```



13.
Entry from Alexandria: crystalline Li2VO2F at its relaxed geometry (PBEsol).

Results
- ΔE to the lowest computed polymorph: 86 meV/atom
- Uncorrected formation energy: -2.427 eV/atom

Cell and atoms, written as POSCAR:
```
Li2VO2F
1.0
2.820 0.000 0.000
0.000 5.027 -0.023
-1.410 -2.420 7.109
Li F O V
4 2 4 2
direct
0.993 0.746 0.820
0.830 0.224 0.493
0.337 0.776 0.507
0.173 0.254 0.180
0.749 0.515 0.331
0.418 0.485 0.669
0.083 0.500 0.000
0.244 0.989 0.322
0.583 0.000 0.000
0.923 0.011 0.678
0.661 0.773 0.154
0.506 0.227 0.846
```



14.
Entry from Alexandria: crystalline Ba2PtSe at its relaxed geometry (PBEsol).

Results
- Uncorrected formation energy: -1.224 eV/atom

Cell and atoms, written as POSCAR:
```
Ba2PtSe
1.0
4.568 0.000 0.000
0.000 4.568 0.000
0.000 0.000 6.452
Pt Ba Se
1 2 1
direct
0.500 0.500 0.000
0.000 0.000 0.000
0.500 0.500 0.500
0.000 0.000 0.500
```



15.
Entry from Alexandria: crystalline Ba2MgUO6 at its relaxed geometry (PBEsol).

Results
- Uncorrected formation energy: -3.066 eV/atom

Cell and atoms, written as POSCAR:
```
Ba2MgUO6
1.0
-0.584 -2.802 -5.177
4.260 -3.645 -1.888
-0.938 -5.840 -0.113
U O Mg Ba
1 6 1 2
direct
0.500 0.500 0.500
0.748 0.252 0.252
0.252 0.252 0.748
0.748 0.748 0.252
0.748 0.252 0.748
0.252 0.748 0.748
0.252 0.748 0.252
0.000 0.000 0.000
0.750 0.750 0.750
0.250 0.250 0.250
```



16.
Entry from Alexandria: crystalline GaWSe3 at its relaxed geometry (PBEsol).

Results
- Uncorrected formation energy: 1.132 eV/atom

Cell and atoms, written as POSCAR:
```
GaWSe3
1.0
-0.622 1.279 4.543
4.239 -1.864 1.105
2.076 4.189 -0.895
W Se Ga
1 3 1
direct
0.500 0.500 0.500
0.500 0.000 0.000
0.000 0.500 0.000
0.000 0.000 0.500
0.000 0.000 0.000
```



17.
Entry from Alexandria: crystalline Tl4PBr at its relaxed geometry (PBEsol).

Results
- Uncorrected formation energy: 0.272 eV/atom

Cell and atoms, written as POSCAR:
```
Tl4PBr
1.0
6.209 0.000 0.000
3.105 5.377 0.000
3.105 1.792 5.070
P Tl Br
1 4 1
direct
0.000 0.000 0.000
0.375 0.375 0.375
0.375 0.375 0.876
0.876 0.375 0.375
0.375 0.876 0.375
0.750 0.750 0.750
```



18.
Entry from Alexandria: crystalline Cd2InPd2 at its relaxed geometry (PBEsol).

Results
- ΔE to the lowest computed polymorph: 202 meV/atom
- DFT formation energy: -0.77 eV per formula unit

Cell and atoms, written as POSCAR:
```
Cd2InPd2
1.0
3.787 0.000 0.000
0.000 3.787 0.000
-1.894 -1.894 6.683
Cd Pd In
2 2 1
direct
0.250 0.750 0.500
0.750 0.250 0.500
0.596 0.596 0.193
0.404 0.404 0.807
0.000 0.000 0.000
```



19.
Entry from Alexandria: crystalline Sm3Al5O12 at its relaxed geometry (PBEsol).

Results
- Uncorrected formation energy: -3.274 eV/atom

Cell and atoms, written as POSCAR:
```
Sm3Al5O12
1.0
-0.701 -9.854 -3.601
9.211 1.292 4.904
-7.851 1.832 6.749
O Al Sm
48 20 12
direct
0.919 0.599 0.616
0.518 0.697 0.116
0.616 0.099 0.919
0.697 0.081 0.180
0.901 0.581 0.884
0.482 0.303 0.884
0.320 0.303 0.419
0.901 0.320 0.518
0.180 0.581 0.697
0.680 0.697 0.581
0.884 0.803 0.482
0.419 0.803 0.320
0.099 0.680 0.482
0.599 0.116 0.419
0.197 0.180 0.081
0.116 0.197 0.518
0.303 0.384 0.982
0.884 0.081 0.901
0.820 0.419 0.303
0.616 0.518 0.197
0.803 0.820 0.919
0.018 0.901 0.820
0.384 0.901 0.081
0.982 0.884 0.303
0.581 0.384 0.401
0.018 0.116 0.697
0.820 0.401 0.018
0.081 0.680 0.197
0.099 0.419 0.116
0.320 0.018 0.401
0.482 0.180 0.099
0.303 0.919 0.820
0.081 0.401 0.384
0.697 0.616 0.018
0.419 0.616 0.599
0.401 0.884 0.581
0.197 0.018 0.616
0.919 0.320 0.803
0.401 0.518 0.320
0.384 0.482 0.803
0.982 0.099 0.180
0.116 0.919 0.099
0.518 0.820 0.901
0.581 0.197 0.680
0.599 0.482 0.680
0.803 0.982 0.384
0.680 0.982 0.599
0.180 0.599 0.982
0.875 0.125 0.750
0.625 0.375 0.250
0.500 0.000 0.500
0.000 0.500 0.500
0.625 0.250 0.875
0.125 0.250 0.375
0.875 0.750 0.625
0.375 0.625 0.750
0.500 0.000 0.000
0.250 0.375 0.125
0.750 0.625 0.875
0.000 0.000 0.000
0.375 0.750 0.125
0.000 0.500 0.000
0.500 0.500 0.000
0.750 0.125 0.375
0.500 0.500 0.500
0.000 0.000 0.500
0.125 0.875 0.250
0.250 0.875 0.625
0.250 0.625 0.375
0.875 0.625 0.250
0.625 0.750 0.375
0.250 0.125 0.875
0.750 0.375 0.625
0.125 0.750 0.875
0.750 0.875 0.125
0.875 0.250 0.125
0.375 0.125 0.250
0.625 0.875 0.750
0.125 0.375 0.750
0.375 0.250 0.625
```



20.
Entry from Alexandria: crystalline LaY at its relaxed geometry (PBEsol).

Results
- ΔE to the lowest computed polymorph: 36 meV/atom
- DFT formation energy: 0.07 eV per formula unit

Cell and atoms, written as POSCAR:
```
LaY
1.0
5.046 0.000 0.000
0.000 5.046 0.000
-2.523 -2.523 5.101
La Y
2 2
direct
0.250 0.750 0.500
0.000 0.000 0.000
0.500 0.500 0.000
0.750 0.250 0.500
```